Entry 1:
# NbRe2Ru (PBE, optimized geometry)
data_NbRe2Ru
_cell_length_a 6.296
_cell_length_b 6.296
_cell_length_c 6.296
_cell_angle_alpha 90.00
_cell_angle_beta 90.00
_cell_angle_gamma 90.00
_space_group_name_H-M_alt 'F m -3 m'
_space_group_IT_number 225
_space_group_name_Hall '-F 4 2 3'
loop_
_atom_site_label
_atom_site_fract_x
_atom_site_fract_y
_atom_site_fract_z
Nb1 0.000 0.000 0.000
Re1 0.250 0.250 0.250
Ru1 0.000 0.000 0.500
# Excess energy over the best structure of this formula in the dataset in eV per atom: 0.000
# Formation energy in eV/atom: 0.23
# D(E_F) in states/eV/f.u.: 7.6
# Crystal system: cubic

---

Entry 2:
# MgHgTe (PBE, optimized geometry)
data_MgHgTe
_cell_length_a 4.742
_cell_length_b 5.310
_cell_length_c 13.104
_cell_angle_alpha 90.00
_cell_angle_beta 90.00
_cell_angle_gamma 90.00
_space_group_name_H-M_alt 'F m m 2'
_space_group_IT_number 42
_space_group_name_Hall 'F 2 -2'
loop_
_atom_site_label
_atom_site_fract_x
_atom_site_fract_y
_atom_site_fract_z
Mg1 0.000 0.000 0.000
Hg1 0.000 0.000 0.347
Te1 0.000 0.000 0.627
# Excess energy over the best structure of this formula in the dataset in eV per atom: 0.224
# D(E_F) in states/eV/f.u.: 0.9
# Crystal system: orthorhombic